{"formula": "SrLi3", "functional": "PBE", "state": "relaxed", "spacegroup": "Pnma (62)", "final_energy_ha_per_atom": -0.067, "lattice_angstrom": [[8.7191, 0.0000, 0.0000], [0.0000, 8.1825, 0.0000], [0.0000, 0.0000, 6.5912]], "species": ["Sr", "Sr", "Sr", "Sr", "Li", "Li", "Li", "Li", "Li", "Li", "Li", "Li", "Li", "Li", "Li", "Li"], "frac_coords": [[0.0299, 0.2500, 0.1260], [0.4701, 0.7500, 0.6260], [0.5299, 0.2500, 0.3740], [0.9701, 0.7500, 0.8740], [0.1227, 0.7500, 0.3539], [0.1681, 0.0596, 0.5899], [0.1681, 0.4404, 0.5899], [0.3319, 0.5596, 0.0899], [0.3319, 0.9404, 0.0899], [0.3773, 0.2500, 0.8539], [0.6227, 0.7500, 0.1461], [0.6681, 0.0596, 0.9101], [0.6681, 0.4404, 0.9101], [0.8319, 0.5596, 0.4101], [0.8319, 0.9404, 0.4101], [0.8773, 0.2500, 0.6461]]}